A relaxed TmGa4CoCu2 crystal. Source: Alexandria via LeMat-Bulk, functional PBE-GGA.

a = 8.944 Å, b = 8.944 Å, c = 8.944 Å
α = 26.59°, β = 26.59°, γ = 26.59°
Positions (direct):
Tm 0.000 0.000 0.000
Ga 0.133 0.133 0.133
Ga 0.402 0.402 0.402
Ga 0.598 0.598 0.598
Ga 0.867 0.867 0.867
Co 0.500 0.500 0.500
Cu 0.237 0.237 0.237
Cu 0.763 0.763 0.763

Values from the calculation:
The total energy comes out at -4.261 eV/atom. The value obtained for the density of states at the Fermi level is 4.46 states/eV/f.u. The value obtained for the calculated formation energy is -277 meV/atom. The value obtained for the total magnetization is 0.0 μB/f.u.